Entry from OQMD: RbCuSnTe3 after structural relaxation (PBE).

## Properties
Symmetry ... No. 62
Calculated total energy ... -3.379 eV/atom
Energy relative to the lowest polymorph listed for this composition ... 0.209 eV/f.u.

Lattice parameters (Å, degrees): 12.152 4.504 13.975 90.00 90.00 90.00
Sites, in units of the cell vectors:
Cu 0.750 0.000 0.173
Cu 0.250 0.000 0.327
Cu 0.750 0.500 0.673
Cu 0.250 0.500 0.827
Rb 0.250 0.000 0.023
Rb 0.750 0.000 0.477
Rb 0.250 0.500 0.523
Rb 0.750 0.500 0.977
Sn 0.501 0.500 0.250
Sn 0.001 0.500 0.250
Sn 0.999 0.000 0.750
Sn 0.499 0.000 0.750
Te 0.546 0.000 0.103
Te 0.954 0.000 0.103
Te 0.251 0.500 0.232
Te 0.751 0.500 0.268
Te 0.454 0.000 0.397
Te 0.046 0.000 0.397
Te 0.954 0.500 0.603
Te 0.546 0.500 0.603
Te 0.249 0.000 0.732
Te 0.749 0.000 0.768
Te 0.046 0.500 0.897
Te 0.454 0.500 0.897